[1]
A plane-wave DFT calculation with PBE was carried out for a geometry-optimized CsLiTl2In structure. Values from VASP.

```
&SYSTEM
  ibrav = 0, nat = 5, ntyp = 4
/
ATOMIC_SPECIES
Cs 132.91 Cs.upf
Li 6.94 Li.upf
Tl 204.38 Tl.upf
In 114.82 In.upf
CELL_PARAMETERS angstrom
6.0632 0.0000 0.0000
0.0000 6.0632 0.0000
0.0000 0.0000 5.5875
ATOMIC_POSITIONS crystal
Cs 0.0000 0.0000 0.0000
Li 0.5000 0.5000 0.0000
Tl 0.0000 0.5000 0.5000
Tl 0.5000 0.0000 0.5000
In 0.5000 0.5000 0.5000
```

total moment	0.0	μB per cell
space group	No. 123
formation enthalpy at 0 K	0.04	eV/atom



[2]
A plane-wave DFT calculation with PBE was carried out for a geometry-optimized Al2Cu5Au12 structure. Values from VASP.

```
&SYSTEM
  ibrav = 0, nat = 19, ntyp = 3
/
ATOMIC_SPECIES
Al 26.98 Al.upf
Cu 63.55 Cu.upf
Au 196.97 Au.upf
CELL_PARAMETERS angstrom
6.3961 -4.1598 0.0000
6.3961 4.1598 0.0000
-0.3429 0.0000 6.0168
ATOMIC_POSITIONS crystal
Al 0.2436 0.7564 0.0000
Al 0.7564 0.2436 0.0000
Cu 0.0000 0.0000 0.5000
Cu 0.2391 0.2391 0.5089
Cu 0.3236 0.3236 0.1007
Cu 0.6764 0.6764 0.8993
Cu 0.7609 0.7609 0.4911
Au 0.0515 0.5643 0.8020
Au 0.1174 0.1174 0.8933
Au 0.1672 0.6265 0.3913
Au 0.3735 0.8328 0.6087
Au 0.4357 0.9485 0.1980
Au 0.4537 0.4537 0.7531
Au 0.5463 0.5463 0.2469
Au 0.5643 0.0515 0.8020
Au 0.6265 0.1672 0.3913
Au 0.8328 0.3735 0.6087
Au 0.8826 0.8826 0.1067
Au 0.9485 0.4357 0.1980
```

total moment	0.0	μB per cell
space group	No. 12
formation enthalpy at 0 K	-0.08	eV/atom